Record 1
Below is a geometry-optimized K3Co structure, with properties calculated at the GGA-PBE level.

Lattice parameters (Å, degrees): 4.161 4.161 11.337 90.00 90.00 90.00
Fractional coordinates of all 4 atoms:
1 K 0.000 0.000 0.000
2 K 0.500 0.500 0.333
3 K 0.500 0.500 0.667
4 Co 0.000 0.000 0.500

Summary:
- Symmetry: P4/mmm
- Calculated volume: 49.1 Å³ per atom
- Calculated formation energy: 0.740 eV per atom
- Magnetization: 1.723 μB/cell

Record 2
Below is a geometry-optimized Dy3Zn2Ga3 structure, with properties calculated at the GGA-PBE level.

Lattice parameters (Å, degrees): 5.731 5.731 14.492 90.00 90.00 135.15
Fractional coordinates of all 16 atoms:
1 Dy 0.089 0.911 0.612
2 Dy 0.089 0.911 0.888
3 Dy 0.365 0.635 0.750
4 Dy 0.635 0.365 0.250
5 Dy 0.911 0.089 0.112
6 Dy 0.911 0.089 0.388
7 Zn 0.207 0.793 0.098
8 Zn 0.207 0.793 0.402
9 Zn 0.793 0.207 0.598
10 Zn 0.793 0.207 0.902
11 Ga 0.343 0.657 0.250
12 Ga 0.389 0.611 0.540
13 Ga 0.389 0.611 0.960
14 Ga 0.611 0.389 0.040
15 Ga 0.611 0.389 0.460
16 Ga 0.657 0.343 0.750

Summary:
- Symmetry: Cmcm
- Calculated volume: 21.0 Å³ per atom
- Calculated formation energy: -0.563 eV per atom
- Magnetization: 0.889 μB/cell

Record 3
Below is a geometry-optimized BaAcPt10 structure, with properties calculated at the GGA-PBE level.

Lattice parameters (Å, degrees): 4.382 5.595 9.655 90.00 90.00 90.00
Fractional coordinates of all 12 atoms:
1 Ba 0.000 0.000 0.000
2 Ac 0.000 0.500 0.500
3 Pt 0.000 0.000 0.335
4 Pt 0.000 0.000 0.665
5 Pt 0.000 0.500 0.169
6 Pt 0.000 0.500 0.831
7 Pt 0.500 0.000 0.500
8 Pt 0.500 0.253 0.255
9 Pt 0.500 0.253 0.745
10 Pt 0.500 0.500 0.000
11 Pt 0.500 0.747 0.255
12 Pt 0.500 0.747 0.745

Summary:
- Symmetry: Pmmm
- Calculated volume: 19.7 Å³ per atom
- Calculated formation energy: -0.642 eV per atom
- Magnetization: 0.000 μB/cell